18
Lattice="3.2855 0.0000 0.0000 -1.6428 8.3426 0.0000 0.0000 0.0000 12.6520" Properties=species:S:1:pos:R:3 comment="Rb2VSnO5 | the Alexandria database | PBE with a Hubbard U | relaxed" total_energy_ev_per_atom=-5.878 sg="Cmc2_1 (36)" pbc="T T T"
Sn 1.6428 4.6736 6.8522
Sn 0.0000 3.6690 0.5262
Rb 1.6428 6.0437 10.4562
Rb 0.0000 1.4199 8.1370
Rb 1.6428 6.9227 1.8110
Rb 0.0000 2.2989 4.1302
O 0.0000 0.7511 12.6172
O 1.6428 2.9649 11.7787
O 0.0000 5.3777 5.4527
O 1.6428 0.2462 10.2598
O 0.0000 8.0964 3.9338
O 0.0000 4.9937 8.1188
O 1.6428 3.3489 1.7928
O 1.6428 2.8025 6.3754
O 1.6428 7.5915 6.2912
O 0.0000 5.5400 0.0494
V 0.0000 7.2583 5.4157
V 1.6428 1.0843 11.7417